# TaCr (meta-GGA SCAN, PBEsol geometry)
data_TaCr
_space_group_name_H-M_alt 'P 1'
_space_group_IT_number 1
_space_group_name_Hall 'P 1'
_cell_length_a 2.8296
_cell_length_b 2.8296
_cell_length_c 4.4543
_cell_angle_alpha 90.00
_cell_angle_beta 90.00
_cell_angle_gamma 120.00
loop_
_atom_site_label
_atom_site_fract_x
_atom_site_fract_y
_atom_site_fract_z
Cr1 0.0000 0.0000 0.0000
Ta1 0.6667 0.3333 0.5000
# N(E_F) ... 1.117 states/eV/atom
# VASP energy ... -42.050 eV per atom
# ΔH_f (0 K) ... 434 meV per atom


# Ta2CrTc (meta-GGA SCAN, PBEsol geometry)
data_Ta2CrTc
_space_group_name_H-M_alt 'P 1'
_space_group_IT_number 1
_space_group_name_Hall 'P 1'
_cell_length_a 3.1061
_cell_length_b 3.1061
_cell_length_c 6.2228
_cell_angle_alpha 90.00
_cell_angle_beta 90.00
_cell_angle_gamma 90.00
loop_
_atom_site_label
_atom_site_fract_x
_atom_site_fract_y
_atom_site_fract_z
Cr1 0.5000 0.5000 0.5000
Tc1 0.5000 0.5000 0.0000
Ta1 0.0000 0.0000 0.7442
Ta2 0.0000 0.0000 0.2558
# N(E_F) ... 0.433 states/eV/atom
# VASP energy ... -46.996 eV per atom
# ΔH_f (0 K) ... -343 meV per atom


# TaCrTc2 (meta-GGA SCAN, PBEsol geometry)
data_TaCrTc2
_space_group_name_H-M_alt 'P 1'
_space_group_IT_number 1
_space_group_name_Hall 'P 1'
_cell_length_a 2.7040
_cell_length_b 5.0171
_cell_length_c 5.0171
_cell_angle_alpha 116.19
_cell_angle_beta 100.86
_cell_angle_gamma 100.86
loop_
_atom_site_label
_atom_site_fract_x
_atom_site_fract_y
_atom_site_fract_z
Cr1 0.5000 0.0000 0.0000
Ta1 0.5000 0.5000 0.5000
Tc1 0.0000 0.5000 0.0000
Tc2 0.0000 0.0000 0.5000
# N(E_F) ... 0.758 states/eV/atom
# VASP energy ... -38.833 eV per atom
# ΔH_f (0 K) ... -61 meV per atom


# TaCrTc2 (meta-GGA SCAN, PBEsol geometry)
data_TaCrTc2
_space_group_name_H-M_alt 'P 1'
_space_group_IT_number 1
_space_group_name_Hall 'P 1'
_cell_length_a 2.6862
_cell_length_b 2.6862
_cell_length_c 8.4460
_cell_angle_alpha 90.00
_cell_angle_beta 90.00
_cell_angle_gamma 110.57
loop_
_atom_site_label
_atom_site_fract_x
_atom_site_fract_y
_atom_site_fract_z
Cr1 0.0000 0.0000 0.5101
Ta1 0.5000 0.5000 0.2586
Tc1 0.0000 0.0000 0.9941
Tc2 0.5000 0.5000 0.7373
# N(E_F) ... 0.970 states/eV/atom
# VASP energy ... -38.724 eV per atom
# ΔH_f (0 K) ... 47 meV per atom


# Ta2CrTc (meta-GGA SCAN, PBEsol geometry)
data_Ta2CrTc
_space_group_name_H-M_alt 'P 1'
_space_group_IT_number 1
_space_group_name_Hall 'P 1'
_cell_length_a 3.0996
_cell_length_b 3.0996
_cell_length_c 6.2862
_cell_angle_alpha 90.00
_cell_angle_beta 90.00
_cell_angle_gamma 90.00
loop_
_atom_site_label
_atom_site_fract_x
_atom_site_fract_y
_atom_site_fract_z
Cr1 0.5000 0.5000 0.7419
Ta1 0.0000 0.0000 0.9827
Ta2 0.5000 0.5000 0.2620
Tc1 0.0000 0.0000 0.5134
# N(E_F) ... 0.546 states/eV/atom
# VASP energy ... -46.801 eV per atom
# ΔH_f (0 K) ... -148 meV per atom


# TaCrTe (meta-GGA SCAN, PBEsol geometry)
data_TaCrTe
_space_group_name_H-M_alt 'P 1'
_space_group_IT_number 1
_space_group_name_Hall 'P 1'
_cell_length_a 4.3812
_cell_length_b 4.3812
_cell_length_c 4.3812
_cell_angle_alpha 60.00
_cell_angle_beta 60.00
_cell_angle_gamma 60.00
loop_
_atom_site_label
_atom_site_fract_x
_atom_site_fract_y
_atom_site_fract_z
Cr1 0.5000 0.5000 0.5000
Ta1 0.2500 0.2500 0.2500
Te1 0.0000 0.0000 0.0000
# N(E_F) ... 0.925 states/eV/atom
# VASP energy ... -39.986 eV per atom
# ΔE_f (raw) ... 0.75 eV per atom


# Ta4CrTe4 (meta-GGA SCAN, PBEsol geometry)
data_Ta4CrTe4
_space_group_name_H-M_alt 'P 1'
_space_group_IT_number 1
_space_group_name_Hall 'P 1'
_cell_length_a 4.7910
_cell_length_b 10.5793
_cell_length_c 18.3698
_cell_angle_alpha 90.00
_cell_angle_beta 90.00
_cell_angle_gamma 90.00
loop_
_atom_site_label
_atom_site_fract_x
_atom_site_fract_y
_atom_site_fract_z
Ta1 0.5000 0.5663 0.3793
Ta2 0.5000 0.4337 0.6207
Ta3 0.5000 0.0663 0.1207
Ta4 0.5000 0.9337 0.8793
Ta5 0.5000 0.7111 0.5379
Ta6 0.5000 0.2889 0.4621
Ta7 0.5000 0.2111 0.9621
Ta8 0.5000 0.7889 0.0379
Ta9 0.0000 0.6959 0.4409
Ta10 0.0000 0.3041 0.5591
Ta11 0.0000 0.1959 0.0591
Ta12 0.0000 0.8041 0.9409
Ta13 0.0000 0.3979 0.3878
Ta14 0.0000 0.6021 0.6122
Ta15 0.0000 0.8979 0.1122
Ta16 0.0000 0.1021 0.8878
Cr1 0.2501 0.5000 0.5000
Cr2 0.7499 0.0000 0.0000
Cr3 0.7499 0.5000 0.5000
Cr4 0.2501 0.0000 0.0000
Te1 0.0000 0.8575 0.5649
Te2 0.0000 0.1425 0.4351
Te3 0.0000 0.3575 0.9351
Te4 0.0000 0.6425 0.0649
Te5 0.5000 0.3276 0.3097
Te6 0.5000 0.6724 0.6903
Te7 0.5000 0.8276 0.1903
Te8 0.5000 0.1724 0.8097
Te9 0.5000 0.8329 0.4000
Te10 0.5000 0.1671 0.6000
Te11 0.5000 0.3329 0.1000
Te12 0.5000 0.6671 0.9000
Te13 0.0000 0.6112 0.2944
Te14 0.0000 0.3888 0.7056
Te15 0.0000 0.1112 0.2056
Te16 0.0000 0.8888 0.7944
# N(E_F) ... 0.197 states/eV/atom
# VASP energy ... -48.537 eV per atom
# ΔE_f (raw) ... -0.35 eV per atom


# Ta2CrTe2 (meta-GGA SCAN, PBEsol geometry)
data_Ta2CrTe2
_space_group_name_H-M_alt 'P 1'
_space_group_IT_number 1
_space_group_name_Hall 'P 1'
_cell_length_a 5.2835
_cell_length_b 5.5978
_cell_length_c 5.2835
_cell_angle_alpha 61.84
_cell_angle_beta 90.00
_cell_angle_gamma 118.16
loop_
_atom_site_label
_atom_site_fract_x
_atom_site_fract_y
_atom_site_fract_z
Cr1 0.0000 0.0000 0.0000
Te1 0.7500 0.5000 0.7500
Te2 0.2500 0.5000 0.2500
Ta1 0.6420 0.2840 0.3580
Ta2 0.3580 0.7160 0.6420
# N(E_F) ... 0.458 states/eV/atom
# VASP energy ... -44.652 eV per atom
# ΔE_f (raw) ... 0.56 eV per atom


# Ta2CrTe (meta-GGA SCAN, PBEsol geometry)
data_Ta2CrTe
_space_group_name_H-M_alt 'P 1'
_space_group_IT_number 1
_space_group_name_Hall 'P 1'
_cell_length_a 3.1090
_cell_length_b 3.1090
_cell_length_c 7.2461
_cell_angle_alpha 90.00
_cell_angle_beta 90.00
_cell_angle_gamma 95.21
loop_
_atom_site_label
_atom_site_fract_x
_atom_site_fract_y
_atom_site_fract_z
Cr1 0.5000 0.5000 0.0000
Ta1 0.0000 0.0000 0.2054
Ta2 0.0000 0.0000 0.7946
Te1 0.5000 0.5000 0.5000
# N(E_F) ... 1.063 states/eV/atom
# VASP energy ... -46.890 eV per atom
# ΔE_f (raw) ... 0.31 eV per atom


# Ta2CrTe (meta-GGA SCAN, PBEsol geometry)
data_Ta2CrTe
_space_group_name_H-M_alt 'P 1'
_space_group_IT_number 1
_space_group_name_Hall 'P 1'
_cell_length_a 3.9528
_cell_length_b 3.9528
_cell_length_c 4.3427
_cell_angle_alpha 90.00
_cell_angle_beta 90.00
_cell_angle_gamma 90.00
loop_
_atom_site_label
_atom_site_fract_x
_atom_site_fract_y
_atom_site_fract_z
Cr1 0.0000 0.0000 0.5000
Ta1 0.0000 0.5000 0.0000
Ta2 0.5000 0.0000 0.0000
Te1 0.5000 0.5000 0.5000
# N(E_F) ... 0.569 states/eV/atom
# VASP energy ... -47.014 eV per atom
# ΔE_f (raw) ... 0.19 eV per atom


# Ta2CrTe (meta-GGA SCAN, PBEsol geometry)
data_Ta2CrTe
_space_group_name_H-M_alt 'P 1'
_space_group_IT_number 1
_space_group_name_Hall 'P 1'
_cell_length_a 3.2792
_cell_length_b 4.6244
_cell_length_c 4.6244
_cell_angle_alpha 104.54
_cell_angle_beta 90.00
_cell_angle_gamma 90.00
loop_
_atom_site_label
_atom_site_fract_x
_atom_site_fract_y
_atom_site_fract_z
Cr1 0.5000 0.5000 0.5000
Ta1 0.0000 0.5000 0.0000
Ta2 0.0000 0.0000 0.5000
Te1 0.5000 0.0000 0.0000
# N(E_F) ... 0.750 states/eV/atom
# VASP energy ... -46.913 eV per atom
# ΔE_f (raw) ... 0.29 eV per atom


# TaCrTe2 (meta-GGA SCAN, PBEsol geometry)
data_TaCrTe2
_space_group_name_H-M_alt 'P 1'
_space_group_IT_number 1
_space_group_name_Hall 'P 1'
_cell_length_a 3.3828
_cell_length_b 4.7250
_cell_length_c 4.7250
_cell_angle_alpha 90.00
_cell_angle_beta 90.00
_cell_angle_gamma 90.00
loop_
_atom_site_label
_atom_site_fract_x
_atom_site_fract_y
_atom_site_fract_z
Cr1 0.5000 0.5000 0.5000
Ta1 0.5000 0.0000 0.0000
Te1 0.0000 0.0000 0.5000
Te2 0.0000 0.5000 0.0000
# N(E_F) ... 0.577 states/eV/atom
# VASP energy ... -39.676 eV per atom
# Polymorph energy (0 for the lowest one) ... 54.9 kJ/mol of formula units
# ΔE_f (raw) ... 0.19 eV per atom


# Ta2CrTe (meta-GGA SCAN, PBEsol geometry)
data_Ta2CrTe
_space_group_name_H-M_alt 'P 1'
_space_group_IT_number 1
_space_group_name_Hall 'P 1'
_cell_length_a 3.1861
_cell_length_b 3.1861
_cell_length_c 8.2653
_cell_angle_alpha 78.89
_cell_angle_beta 78.89
_cell_angle_gamma 60.00
loop_
_atom_site_label
_atom_site_fract_x
_atom_site_fract_y
_atom_site_fract_z
Cr1 0.0000 0.0000 0.0000
Ta1 0.2605 0.2605 0.2186
Ta2 0.7395 0.7395 0.7814
Te1 0.5000 0.5000 0.5000
# N(E_F) ... 0.842 states/eV/atom
# VASP energy ... -46.802 eV per atom
# ΔE_f (raw) ... 0.40 eV per atom


# TaCrTe2 (meta-GGA SCAN, PBEsol geometry)
data_TaCrTe2
_space_group_name_H-M_alt 'P 1'
_space_group_IT_number 1
_space_group_name_Hall 'P 1'
_cell_length_a 3.5376
_cell_length_b 3.7791
_cell_length_c 6.7015
_cell_angle_alpha 106.38
_cell_angle_beta 105.30
_cell_angle_gamma 90.00
loop_
_atom_site_label
_atom_site_fract_x
_atom_site_fract_y
_atom_site_fract_z
Cr1 0.4807 0.4807 0.9614
Ta1 0.1936 0.6936 0.3873
Te1 0.0319 0.0319 0.0639
Te2 0.7937 0.2937 0.5875
# N(E_F) ... 0.369 states/eV/atom
# VASP energy ... -39.818 eV per atom
# Polymorph energy (0 for the lowest one) ... 0.0 kJ/mol of formula units
# ΔE_f (raw) ... 0.05 eV per atom